(1)
Computed, not measured: a relaxed structure of Pm3Ho12Tm at the GGA-PBE level of DFT.

Cell lengths 5.011, 5.011, 20.068 Å; angles 90.00, 90.00, 90.00 degrees
Atoms (fractional coordinates):
Pm1 0.000 0.000 0.000
Pm2 0.000 0.000 0.251
Pm3 0.000 0.000 0.749
Ho1 0.000 0.500 0.126
Ho2 0.000 0.500 0.377
Ho3 0.000 0.500 0.623
Ho4 0.000 0.500 0.874
Ho5 0.500 0.000 0.126
Ho6 0.500 0.000 0.377
Ho7 0.500 0.000 0.623
Ho8 0.500 0.000 0.874
Ho9 0.500 0.500 0.000
Ho10 0.500 0.500 0.252
Ho11 0.500 0.500 0.500
Ho12 0.500 0.500 0.748
Tm1 0.000 0.000 0.500

Calculated values
symmetry = P4/mmm, No. 123
density = 8.51 g/cm3
total DFT energy (no corrections) = -4.58 eV/atom
E_form = 33 kJ/mol of formula units

=====

(2)
Computed, not measured: a relaxed structure of PmHo4Tm4 at the GGA-PBE level of DFT.

Cell lengths 9.071, 9.071, 10.713 Å; angles 93.31, 93.31, 139.78 degrees
Atoms (fractional coordinates):
Pm1 0.224 0.224 0.281
Pm2 0.776 0.776 0.719
Ho1 0.185 0.815 0.000
Ho2 0.357 0.641 0.834
Ho3 0.357 0.643 0.500
Ho4 0.359 0.643 0.166
Ho5 0.641 0.357 0.834
Ho6 0.643 0.357 0.500
Ho7 0.643 0.359 0.166
Ho8 0.815 0.185 0.000
Tm1 0.181 0.809 0.334
Tm2 0.191 0.819 0.666
Tm3 0.225 0.225 0.614
Tm4 0.227 0.227 0.947
Tm5 0.773 0.773 0.053
Tm6 0.775 0.775 0.386
Tm7 0.809 0.181 0.334
Tm8 0.819 0.191 0.666

Calculated values
symmetry = C2/m, No. 12
density = 8.76 g/cm3
total DFT energy (no corrections) = -4.46 eV/atom
E_form = 74 kJ/mol of formula units

=====

(3)
Computed, not measured: a relaxed structure of Pm3HoTm2 at the GGA-PBE level of DFT.

Cell lengths 3.591, 6.790, 16.954 Å; angles 100.20, 90.01, 105.30 degrees
Atoms (fractional coordinates):
Pm1 0.020 0.042 0.172
Pm2 0.364 0.730 0.987
Pm3 0.447 0.895 0.351
Pm4 0.553 0.105 0.649
Pm5 0.636 0.270 0.013
Pm6 0.980 0.958 0.828
Ho1 0.294 0.587 0.677
Ho2 0.706 0.413 0.323
Tm1 0.134 0.269 0.487
Tm2 0.288 0.575 0.170
Tm3 0.712 0.425 0.830
Tm4 0.866 0.731 0.513

Calculated values
symmetry = P-1, No. 2
density = 7.95 g/cm3
total DFT energy (no corrections) = -4.60 eV/atom
energy relative to the lowest polymorph listed for this composition = 0.03 eV/f.u.
E_form = 15 kJ/mol of formula units

=====

(4)
Computed, not measured: a relaxed structure of PmHoTm6 at the GGA-PBE level of DFT.

Cell lengths 6.993, 6.993, 6.971 Å; angles 104.22, 104.22, 120.61 degrees
Atoms (fractional coordinates):
Pm1 0.000 0.000 0.000
Ho1 0.000 0.000 0.500
Tm1 0.220 0.766 0.748
Tm2 0.234 0.780 0.252
Tm3 0.498 0.498 0.251
Tm4 0.502 0.502 0.749
Tm5 0.766 0.220 0.748
Tm6 0.780 0.234 0.252

Calculated values
symmetry = C2/m, No. 12
density = 8.63 g/cm3
total DFT energy (no corrections) = -4.08 eV/atom
energy relative to the lowest polymorph listed for this composition = 2.46 eV/f.u.
E_form = 337 kJ/mol of formula units

=====

(5)
Computed, not measured: a relaxed structure of Pm4Ho4Tm at the GGA-PBE level of DFT.

Cell lengths 8.836, 8.836, 6.836 Å; angles 111.85, 111.85, 36.75 degrees
Atoms (fractional coordinates):
Pm1 0.133 0.133 0.459
Pm2 0.281 0.281 0.213
Pm3 0.719 0.719 0.787
Pm4 0.867 0.867 0.541
Ho1 0.072 0.072 0.874
Ho2 0.376 0.376 0.824
Ho3 0.624 0.624 0.176
Ho4 0.928 0.928 0.126
Tm1 0.500 0.500 0.500

Calculated values
symmetry = C2/m, No. 12
density = 7.96 g/cm3
total DFT energy (no corrections) = -4.54 eV/atom
energy relative to the lowest polymorph listed for this composition = 0.77 eV/f.u.
E_form = 94 kJ/mol of formula units

=====

(6)
Computed, not measured: a relaxed structure of Pm2Ho3Tm9 at the GGA-PBE level of DFT.

Cell lengths 6.145, 8.646, 8.669 Å; angles 78.89, 86.71, 77.82 degrees
Atoms (fractional coordinates):
Pm1 0.042 0.295 0.029
Pm2 0.958 0.705 0.971
Ho1 0.242 0.728 0.618
Ho2 0.500 0.000 0.000
Ho3 0.758 0.272 0.382
Tm1 0.012 0.084 0.745
Tm2 0.153 0.507 0.335
Tm3 0.315 0.104 0.381
Tm4 0.410 0.306 0.684
Tm5 0.500 0.500 0.000
Tm6 0.590 0.694 0.316
Tm7 0.685 0.896 0.619
Tm8 0.847 0.493 0.665
Tm9 0.988 0.916 0.255

Calculated values
symmetry = P-1, No. 2
density = 8.67 g/cm3
total DFT energy (no corrections) = -4.41 eV/atom
E_form = 167 kJ/mol of formula units

=====

(7)
Computed, not measured: a relaxed structure of Pm3Ho5Tm4 at the GGA-PBE level of DFT.

Cell lengths 8.476, 8.476, 9.210 Å; angles 114.40, 114.40, 40.48 degrees
Atoms (fractional coordinates):
Pm1 0.000 0.000 0.000
Pm2 0.292 0.292 0.771
Pm3 0.708 0.708 0.229
Ho1 0.074 0.074 0.697
Ho2 0.173 0.173 0.389
Ho3 0.500 0.500 0.000
Ho4 0.827 0.827 0.611
Ho5 0.926 0.926 0.303
Tm1 0.291 0.291 0.125
Tm2 0.419 0.419 0.559
Tm3 0.581 0.581 0.441
Tm4 0.709 0.709 0.875

Calculated values
symmetry = C2/m, No. 12
density = 8.33 g/cm3
total DFT energy (no corrections) = -4.34 eV/atom
energy relative to the lowest polymorph listed for this composition = 2.71 eV/f.u.
E_form = 286 kJ/mol of formula units

=====

(8)
Computed, not measured: a relaxed structure of Pm16Ho6Tm7 at the GGA-PBE level of DFT.

Cell lengths 11.218, 11.218, 11.218 Å; angles 60.00, 60.00, 60.00 degrees
Atoms (fractional coordinates):
Pm1 0.053 0.649 0.649
Pm2 0.125 0.125 0.125
Pm3 0.125 0.125 0.626
Pm4 0.125 0.626 0.125
Pm5 0.351 0.351 0.351
Pm6 0.351 0.351 0.947
Pm7 0.351 0.947 0.351
Pm8 0.374 0.875 0.875
Pm9 0.626 0.125 0.125
Pm10 0.649 0.053 0.649
Pm11 0.649 0.649 0.053
Pm12 0.649 0.649 0.649
Pm13 0.875 0.374 0.875
Pm14 0.875 0.875 0.374
Pm15 0.875 0.875 0.875
Pm16 0.947 0.351 0.351
Ho1 0.266 0.266 0.734
Ho2 0.266 0.734 0.266
Ho3 0.266 0.734 0.734
Ho4 0.734 0.266 0.266
Ho5 0.734 0.266 0.734
Ho6 0.734 0.734 0.266
Tm1 0.000 0.000 0.000
Tm2 0.000 0.000 0.500
Tm3 0.000 0.500 0.000
Tm4 0.000 0.500 0.500
Tm5 0.500 0.000 0.000
Tm6 0.500 0.000 0.500
Tm7 0.500 0.500 0.000

Calculated values
symmetry = Fm-3m, No. 225
density = 7.47 g/cm3
total DFT energy (no corrections) = -4.44 eV/atom
E_form = 581 kJ/mol of formula units